# Ba6Hg2AuN, relaxed, DFT PBE
# **Formation energy (no corrections)**: -0.45 eV per atom
# **E**: -0.1039 Ha/atom
data_Ba6Hg2AuN
_cell_length_a 8.033
_cell_length_b 8.594
_cell_length_c 11.640
_cell_angle_alpha 90.00
_cell_angle_beta 88.48
_cell_angle_gamma 90.00
_symmetry_space_group_name_H-M 'P 1'
_symmetry_Int_Tables_number 1
loop_
_symmetry_equiv_pos_as_xyz
'x,y,z'
loop_
_atom_site_label
_atom_site_type_symbol
_atom_site_fract_x
_atom_site_fract_y
_atom_site_fract_z
_atom_site_occupancy
Ba1 Ba 0.163 0.213 0.050 1
Ba2 Ba 0.837 0.787 0.950 1
Ba3 Ba 0.210 0.172 0.447 1
Ba4 Ba 0.290 0.672 0.053 1
Ba5 Ba 0.107 0.477 0.771 1
Ba6 Ba 0.337 0.713 0.450 1
Ba7 Ba 0.607 0.023 0.271 1
Ba8 Ba 0.710 0.328 0.947 1
Ba9 Ba 0.663 0.287 0.550 1
Ba10 Ba 0.393 0.977 0.729 1
Ba11 Ba 0.893 0.523 0.229 1
Ba12 Ba 0.790 0.828 0.553 1
Hg1 Hg 0.463 0.411 0.250 1
Hg2 Hg 0.963 0.089 0.750 1
Hg3 Hg 0.537 0.589 0.750 1
Hg4 Hg 0.037 0.911 0.250 1
N1 N 0.000 0.500 0.000 1
N2 N 0.500 0.000 0.500 1
Au1 Au 0.500 0.000 0.000 1
Au2 Au 0.000 0.500 0.500 1